Crystalline K4Ag2O at its relaxed geometry, computed with PBE.

Unit cell a=5.353 b=5.353 c=17.511 alpha=90.00 beta=90.00 gamma=90.00
Fractional positions:
K1 0.000 0.000 0.149
K2 0.000 0.000 0.851
K3 0.000 0.500 0.000
K4 0.000 0.500 0.500
K5 0.500 0.000 0.000
K6 0.500 0.000 0.500
K7 0.500 0.500 0.351
K8 0.500 0.500 0.649
Ag1 0.000 0.000 0.352
Ag2 0.000 0.000 0.648
Ag3 0.500 0.500 0.148
Ag4 0.500 0.500 0.852
O1 0.000 0.000 0.000
O2 0.500 0.500 0.500

Values from the calculation:
- Space-group type: No. 139
- Final energy: -2.5495 eV/atom
- Spin magnetization: 0.04 μB/cell
- ΔE to the lowest computed polymorph: 0 meV/atom